# 1
DFT (PBE-GGA) results for crystalline Be2OsSe at its relaxed geometry.

Lattice parameters (Å, degrees): 2.7185 2.7185 7.7792 90.00 90.00 113.27
Last column: nearest neighbours and their distance in Å.
Fractional coordinates of all 4 atoms:
Be 0.0000 0.0000 0.0000  2 Be 2.20
Be 0.5000 0.5000 0.2082  2 Be 2.20, 2 Os 2.27
Os 0.0000 0.0000 0.4278  2 Be 2.27
Se 0.5000 0.5000 0.7378  2 Be 2.53, 4 Se 2.72

Summary:
**Mass density**: 9.03 g cm⁻³
**Magnetization**: 0.00 μB per atom
**Crystal system**: orthorhombic

# 2
DFT (PBE-GGA) results for crystalline BeOs2Se at its relaxed geometry.

Lattice parameters (Å, degrees): 3.0515 3.0515 5.8111 90.00 90.00 90.00
Last column: nearest neighbours and their distance in Å.
Fractional coordinates of all 4 atoms:
Be 0.0000 0.0000 0.0000  4 Os 2.30
Os 0.0000 0.0000 0.4657  4 Se 2.58, 1 Be 2.71, 4 Os 2.89
Os 0.5000 0.5000 0.1360  4 Be 2.30, 1 Se 2.48
Se 0.5000 0.5000 0.7093  5 Os 2.48-2.58, 4 Be 2.74

Summary:
**Distance to the lowest polymorph of the same formula**: 63 meV/atom
**Mass density**: 14.38 g cm⁻³
**Magnetization**: 0.00 μB per atom
**Crystal system**: tetragonal

# 3
DFT (PBE-GGA) results for crystalline BeOsSe2 at its relaxed geometry.

Lattice parameters (Å, degrees): 7.2299 7.2299 7.2299 154.86 150.20 39.37
Last column: nearest neighbours and their distance in Å.
Fractional coordinates of all 4 atoms:
Be 0.0000 0.0000 0.0000  4 Se 2.33, 4 Os 2.44
Os 0.5000 0.5000 0.0000  4 Be 2.44, 4 Se 2.53
Se 0.1260 0.6260 0.5000  2 Be 2.33, 2 Os 2.53
Se 0.8740 0.3740 0.5000  2 Be 2.33, 2 Os 2.53

Summary:
**Mass density**: 7.45 g cm⁻³
**Magnetization**: 0.00 μB per atom
**Crystal system**: orthorhombic

Number 1: formation energy (no corrections) 2.65 eV per formula unit. Number 2: formation energy (no corrections) 1.50 eV per formula unit. Number 3: formation energy (no corrections) -0.16 eV per formula unit.